# Si4C, relaxed, DFT PBE
data_Si4C
_chemical_formula_sum 'Si4 C1'
_space_group_name_H-M_alt 'P 1'
_space_group_IT_number 1
_cell_length_a 4.041
_cell_length_b 4.041
_cell_length_c 4.041
_cell_angle_alpha 90.00
_cell_angle_beta 90.00
_cell_angle_gamma 90.00
loop_
_space_group_symop_operation_xyz
'x,y,z'
loop_
_atom_site_label
_atom_site_type_symbol
_atom_site_fract_x
_atom_site_fract_y
_atom_site_fract_z
_atom_site_occupancy
Si1 Si 0.000 0.000 0.000 1
Si2 Si 0.000 0.500 0.500 1
Si3 Si 0.500 0.000 0.500 1
Si4 Si 0.500 0.500 0.000 1
C1 C 0.500 0.500 0.500 1
# ΔE to the lowest computed polymorph, eV/atom: 0.3237
# Space group: Pm-3m (221)
# Formation energy without anion corrections, eV/atom: 0.95
# DOS(E_F), states/eV per atom: 0.59